# 1
PBE Pm2MgZn3Pt4, optimized geometry; VASP energy = -0.17287 hartree per atom; calculated volume = 193 Å³/cell; spin magnetization = 0.00 Bohr magnetons per cell
1.0
4.1289 0.0000 0.0000
0.0000 4.1289 0.0000
0.0000 0.0000 11.3284
Pm Mg Zn Pt
2 1 3 4
Direct
0.5000 0.0000 0.2374
0.0000 0.5000 0.7626
0.5000 0.5000 0.5000
0.0000 0.0000 0.5000
0.5000 0.0000 0.8688
0.0000 0.5000 0.1312
0.5000 0.5000 0.0000
0.0000 0.0000 0.0000
0.5000 0.0000 0.6478
0.0000 0.5000 0.3522

# 2
PBE Pm2MgZn4Pt3, optimized geometry; VASP energy = -0.15232 hartree per atom; calculated volume = 194 Å³/cell; spin magnetization = 0.00 Bohr magnetons per cell
1.0
3.9965 0.0000 0.0000
0.0000 3.9965 0.0000
0.0000 0.0000 12.1466
Pm Mg Zn Pt
2 1 4 3
Direct
0.5000 0.0000 0.2353
0.0000 0.5000 0.7647
0.5000 0.5000 0.5000
0.5000 0.5000 0.0000
0.0000 0.0000 0.0000
0.5000 0.0000 0.6445
0.0000 0.5000 0.3555
0.0000 0.0000 0.5000
0.5000 0.0000 0.8569
0.0000 0.5000 0.1431

# 3
PBE PmMgZn2Pt, optimized geometry; VASP energy = -0.13136 hartree per atom; calculated volume = 101 Å³/cell; spin magnetization = 0.00 Bohr magnetons per cell
1.0
-2.4982 1.2700 -2.6784
1.3116 -2.9952 -2.6435
-3.7329 -2.9836 4.8724
Pm Mg Zn Pt
1 1 2 1
Direct
0.4309 0.4309 0.8617
0.1907 0.6907 0.3815
0.6997 0.1997 0.3994
0.0495 0.0495 0.0989
0.8414 0.8414 0.6827

What is the calculated volume in the third record? 101 Å³/cell